Record 1
# BaRe2Ru (PBE, optimized geometry)
data_BaRe2Ru
_symmetry_space_group_name_H-M 'P 1'
_symmetry_Int_Tables_number 1
_symmetry_space_group_name_Hall 'P 1'
_cell_length_a 10.287
_cell_length_b 10.287
_cell_length_c 10.287
_cell_angle_alpha 16.37
_cell_angle_beta 16.37
_cell_angle_gamma 16.37
loop_
_atom_site_label
_atom_site_type_symbol
_atom_site_fract_x
_atom_site_fract_y
_atom_site_fract_z
_atom_site_occupancy
Re1 Re 0.985 0.985 0.985 1
Ru1 Ru 0.515 0.515 0.515 1
Ba1 Ba 0.752 0.752 0.752 1
Re2 Re 0.249 0.249 0.249 1
# total moment	0.0	μB per formula unit
# total DFT energy (no corrections)	-8.065	eV per atom
# space-group type	R3m
# density of states at the Fermi level	1.337	states/eV/atom
# distance to the lowest polymorph of the same formula	380	meV/atom

Record 2
# Nd2PdCl (PBE, optimized geometry)
data_Nd2PdCl
_symmetry_space_group_name_H-M 'P 1'
_symmetry_Int_Tables_number 1
_symmetry_space_group_name_Hall 'P 1'
_cell_length_a 4.106
_cell_length_b 4.106
_cell_length_c 8.037
_cell_angle_alpha 75.20
_cell_angle_beta 75.20
_cell_angle_gamma 60.00
loop_
_atom_site_label
_atom_site_type_symbol
_atom_site_fract_x
_atom_site_fract_y
_atom_site_fract_z
_atom_site_occupancy
Nd1 Nd 0.263 0.263 0.212 1
Cl1 Cl 0.498 0.498 0.505 1
Nd2 Nd 0.071 0.071 0.786 1
Pd1 Pd 0.668 0.668 0.997 1
# total moment	0.0	μB per formula unit
# total DFT energy (no corrections)	-5.203	eV per atom
# ΔE_f (raw)	-102.21	kJ per mole of atoms
# space-group type	R3m
# density of states at the Fermi level	1.106	states/eV/atom
# distance to the lowest polymorph of the same formula	0	meV/atom

Record 3
# ZrTiNi3 (PBE, optimized geometry)
data_ZrTiNi3
_symmetry_space_group_name_H-M 'P 1'
_symmetry_Int_Tables_number 1
_symmetry_space_group_name_Hall 'P 1'
_cell_length_a 4.335
_cell_length_b 4.335
_cell_length_c 4.335
_cell_angle_alpha 90.00
_cell_angle_beta 90.00
_cell_angle_gamma 90.00
loop_
_atom_site_label
_atom_site_type_symbol
_atom_site_fract_x
_atom_site_fract_y
_atom_site_fract_z
_atom_site_occupancy
Ni1 Ni 0.500 0.000 0.000 1
Ni2 Ni 0.000 0.500 0.000 1
Ni3 Ni 0.000 0.000 0.500 1
Zr1 Zr 0.500 0.500 0.500 1
Ti1 Ti 0.000 0.000 0.000 1
# total moment	0.0	μB per formula unit
# total DFT energy (no corrections)	-6.370	eV per atom
# space-group type	Pm-3m
# density of states at the Fermi level	1.052	states/eV/atom
# distance to the lowest polymorph of the same formula	518	meV/atom

Record 4
# SrGdGaPb (PBE, optimized geometry)
data_SrGdGaPb
_symmetry_space_group_name_H-M 'P 1'
_symmetry_Int_Tables_number 1
_symmetry_space_group_name_Hall 'P 1'
_cell_length_a 5.495
_cell_length_b 5.495
_cell_length_c 5.495
_cell_angle_alpha 60.00
_cell_angle_beta 60.00
_cell_angle_gamma 60.00
loop_
_atom_site_label
_atom_site_type_symbol
_atom_site_fract_x
_atom_site_fract_y
_atom_site_fract_z
_atom_site_occupancy
Ga1 Ga 0.250 0.250 0.250 1
Pb1 Pb 0.750 0.750 0.750 1
Sr1 Sr 0.500 0.500 0.500 1
Gd1 Gd 0.000 0.000 0.000 1
# total moment	7.2	μB per formula unit
# total DFT energy (no corrections)	-6.029	eV per atom
# space-group type	F-43m
# density of states at the Fermi level	0.822	states/eV/atom